# Ti4TcRh3 | Alexandria via LeMat-Bulk | PBE | optimized geometry
# volume = 119.8 Å³/cell
# space-group type = P4/mmm, No. 123
# E_tot = -8.74 eV per atom
# DFT formation energy = -5.9 eV per formula unit
data_Ti4TcRh3
_chemical_formula_sum 'Ti4 Tc1 Rh3'
_symmetry_space_group_name_H-M 'P 1'
_symmetry_Int_Tables_number 1
_symmetry_space_group_name_Hall 'P 1'
_cell_length_a 3.137
_cell_length_b 3.137
_cell_length_c 12.172
_cell_angle_alpha 90.00
_cell_angle_beta 90.00
_cell_angle_gamma 90.00
loop_
_atom_site_label
_atom_site_type_symbol
_atom_site_fract_x
_atom_site_fract_y
_atom_site_fract_z
_atom_site_occupancy
Ti1 Ti 0.000 0.000 0.121 1
Ti2 Ti 0.000 0.000 0.374 1
Ti3 Ti 0.000 0.000 0.626 1
Ti4 Ti 0.000 0.000 0.879 1
Tc1 Tc 0.500 0.500 0.000 1
Rh1 Rh 0.500 0.500 0.253 1
Rh2 Rh 0.500 0.500 0.500 1
Rh3 Rh 0.500 0.500 0.747 1